The following is a DFT calculation (GGA-PBE) of a relaxed structure of Dy2AgPtO5.

Cell lengths 5.7848, 6.5602, 6.5602 Å; angles 90.00, 90.00, 90.00 degrees
Each line ends with the local moment (μB).
Positions (direct):
Dy 0.5000 0.6756 0.1756  -0.01
Dy 0.5000 0.1756 0.3244  -0.01
Dy 0.5000 0.8244 0.6756  -0.01
Dy 0.5000 0.3244 0.8244  -0.01
Ag 0.0000 0.5000 0.5000  0.01
Ag 0.0000 0.0000 0.0000  0.01
Pt 0.0000 0.0000 0.5000  0.38
Pt 0.0000 0.5000 0.0000  0.38
O 0.5000 0.5000 0.5000  0.13
O 0.5000 0.0000 0.0000  0.13
O 0.2632 0.1361 0.6361  0.10
O 0.2632 0.8639 0.3639  0.10
O 0.2632 0.3639 0.1361  0.10
O 0.2632 0.6361 0.8639  0.10
O 0.7368 0.1361 0.6361  0.10
O 0.7368 0.6361 0.8639  0.10
O 0.7368 0.8639 0.3639  0.10
O 0.7368 0.3639 0.1361  0.10

Results
The value obtained for the uncorrected formation energy is -1.979 eV/atom. As for the calculated density: 9.444 g cm⁻³. For the final energy, the calculation gives -6.744 eV per atom.

---

The following is a DFT calculation (GGA-PBE) of a relaxed structure of In2SF.

Cell lengths 4.8550, 4.8550, 4.8550 Å; angles 60.00, 60.00, 60.00 degrees
Positions (direct):
S 0.5000 0.5000 0.5000
F 0.0000 0.0000 0.0000
In 0.2500 0.2500 0.2500
In 0.7500 0.7500 0.7500

Results
For the polymorph energy (0 for the lowest one), the calculation gives 0.29 eV per formula unit. The value obtained for the uncorrected formation energy is -0.794 eV/atom. As for the calculated density: 5.760 g cm⁻³. For the final energy, the calculation gives -3.663 eV per atom.